Here is a relaxed SmAl4Pt2 crystal from Alexandria via LeMat-Bulk. Energies are from PBE-GGA.

Cell and atoms, written as CIF:
```
data_SmAl4Pt2
_chemical_formula_sum 'Sm4 Al16 Pt8'
_cell_length_a 17.409
_cell_length_b 4.310
_cell_length_c 6.648
_cell_angle_alpha 90.00
_cell_angle_beta 90.00
_cell_angle_gamma 90.00
_space_group_name_H-M_alt 'P n m a'
_space_group_IT_number 62
loop_
_space_group_symop_operation_xyz
'x,y,z'
'-x,-y,-z'
'-x+1/2,-y,z+1/2'
'x+1/2,y,-z+1/2'
'x+1/2,-y+1/2,-z+1/2'
'-x+1/2,y+1/2,z+1/2'
'-x,y+1/2,-z'
'x,-y+1/2,z'
loop_
_atom_site_label
_atom_site_type_symbol
_atom_site_fract_x
_atom_site_fract_y
_atom_site_fract_z
Sm1 Sm 0.140 0.250 0.012
Al1 Al 0.035 0.750 0.840
Al2 Al 0.070 0.250 0.491
Al3 Al 0.186 0.750 0.323
Al4 Al 0.194 0.750 0.727
Pt1 Pt 0.038 0.750 0.246
Pt2 Pt 0.215 0.250 0.527
```

Output
DFT formation energy: -0.978 eV/atom

Here is a relaxed Sm3Al3Pt2 crystal from Alexandria via LeMat-Bulk. Energies are from PBE-GGA.

Cell and atoms, written as CIF:
```
data_Sm3Al3Pt2
_chemical_formula_sum 'Sm12 Al12 Pt8'
_cell_length_a 8.186
_cell_length_b 15.184
_cell_length_c 5.749
_cell_angle_alpha 90.00
_cell_angle_beta 90.00
_cell_angle_gamma 90.00
_space_group_name_H-M_alt 'P n m a'
_space_group_IT_number 62
loop_
_space_group_symop_operation_xyz
'x,y,z'
'-x,-y,-z'
'-x+1/2,-y,z+1/2'
'x+1/2,y,-z+1/2'
'x+1/2,-y+1/2,-z+1/2'
'-x+1/2,y+1/2,z+1/2'
'-x,y+1/2,-z'
'x,-y+1/2,z'
loop_
_atom_site_label
_atom_site_type_symbol
_atom_site_fract_x
_atom_site_fract_y
_atom_site_fract_z
Sm1 Sm 0.038 0.111 0.115
Sm2 Sm 0.180 0.250 0.622
Al1 Al 0.168 0.750 0.608
Al2 Al 0.178 0.035 0.609
Pt1 Pt 0.107 0.606 0.373
```

Output
DFT formation energy: -0.875 eV/atom